Entry 1:
A relaxed structure of TbIO, computed with PBE.

* DOS(E_F): 0.00 states/eV per atom
* uncorrected formation energy: -2.440 eV/atom

```
TbIO
1.0
3.817 0.000 0.000
-1.909 3.306 0.000
0.000 0.000 5.848
Tb I O
1 1 1
Cartesian
0.000 0.000 0.000 Tb
0.000 2.204 3.544 I
1.909 1.102 0.438 O
```


Entry 2:
A relaxed structure of Cr3RuSe, computed with PBE.

* DOS(E_F): 1.13 states/eV per atom
* uncorrected formation energy: 1.122 eV/atom

```
Cr3RuSe
1.0
4.707 0.000 0.000
0.000 4.707 0.000
0.000 0.000 4.707
Cr Ru Se
3 1 1
Cartesian
0.000 0.000 2.353 Cr
0.000 2.353 0.000 Cr
2.353 0.000 0.000 Cr
0.000 0.000 0.000 Ru
2.353 2.353 2.353 Se
```